{
  "formula": "LiMoRu3",
  "functional": "PBE-GGA",
  "state": "optimized geometry",
  "e_form_ev_per_atom": 1.388,
  "spacegroup": "Pm-3m",
  "de_polymorph_ev_per_atom": 0.556,
  "crystal_system": "cubic",
  "energy_ev_per_atom": -6.727,
  "total_magnetization_mub_per_fu": 2.36,
  "cell": [[-2.839, -1.925, 3.201], [3.706, -0.953, 2.714], [-0.463, 4.171, 2.097]],
  "species": ["Li", "Ru", "Ru", "Ru", "Mo"],
  "frac_coords": [[0.500, 0.500, 0.500], [0.000, 0.000, 0.500], [0.000, 0.500, 0.000], [0.500, 0.000, 0.000], [0.000, 0.000, 0.000]]
}

=====

{
  "formula": "LaSm4DyTm2",
  "functional": "PBE-GGA",
  "state": "optimized geometry",
  "e_form_ev_per_atom": 0.025,
  "spacegroup": "C2/m",
  "crystal_system": "monoclinic",
  "energy_ev_per_atom": -4.644,
  "total_magnetization_mub_per_fu": 0.00,
  "cell": [[-3.135, 4.013, 0.009], [-5.863, -1.345, -1.627], [-2.781, 1.038, 9.053]],
  "species": ["Sm", "Sm", "Sm", "Sm", "La", "Tm", "Tm", "Dy"],
  "frac_coords": [[0.874, 0.875, 0.377], [0.126, 0.125, 0.623], [0.376, 0.375, 0.873], [0.624, 0.625, 0.127], [0.000, 0.000, 0.000], [0.247, 0.253, 0.253], [0.753, 0.747, 0.747], [0.500, 0.500, 0.500]]
}

=====

{
  "formula": "TaCdIr",
  "functional": "PBE-GGA",
  "state": "optimized geometry",
  "e_form_ev_per_atom": -0.082,
  "spacegroup": "Cm",
  "de_polymorph_ev_per_atom": 0.033,
  "crystal_system": "monoclinic",
  "energy_ev_per_atom": -7.292,
  "total_magnetization_mub_per_fu": 0.00,
  "cell": [[-3.505, -1.011, -5.792], [1.838, -2.201, -0.728], [-4.712, -6.474, 7.674]],
  "species": ["Ir", "Ir", "Ir", "Ir", "Ta", "Ta", "Ta", "Ta", "Cd", "Cd", "Cd", "Cd"],
  "frac_coords": [[0.451, 0.000, 0.461], [0.886, 0.500, 0.905], [0.451, 0.500, 0.961], [0.886, 0.000, 0.405], [0.563, 0.000, 0.792], [0.563, 0.500, 0.292], [0.141, 0.000, 0.818], [0.141, 0.500, 0.318], [0.218, 0.000, 0.099], [0.788, 0.500, 0.619], [0.788, 0.000, 0.119], [0.218, 0.500, 0.599]]
}

=====

{
  "formula": "Zn2MoRh",
  "functional": "PBE-GGA",
  "state": "optimized geometry",
  "e_form_ev_per_atom": 0.398,
  "spacegroup": "I-42d",
  "de_polymorph_ev_per_atom": 0.553,
  "crystal_system": "tetragonal",
  "energy_ev_per_atom": -4.784,
  "total_magnetization_mub_per_fu": 0.00,
  "cell": [[6.991, 0.000, 0.000], [0.000, 6.991, 0.000], [3.495, 3.495, 2.576]],
  "species": ["Mo", "Mo", "Zn", "Zn", "Zn", "Zn", "Rh", "Rh"],
  "frac_coords": [[0.250, 0.750, 0.500], [0.500, 0.500, 0.000], [0.875, 0.886, 0.750], [0.636, 0.125, 0.250], [0.114, 0.625, 0.250], [0.375, 0.364, 0.750], [0.000, 0.000, 0.000], [0.750, 0.250, 0.500]]
}

=====

{
  "formula": "Ca2ReMo",
  "functional": "PBE-GGA",
  "state": "optimized geometry",
  "e_form_ev_per_atom": 0.807,
  "spacegroup": "C2/m",
  "de_polymorph_ev_per_atom": 0.485,
  "crystal_system": "monoclinic",
  "energy_ev_per_atom": -6.013,
  "total_magnetization_mub_per_fu": 0.00,
  "cell": [[-6.001, -1.275, 1.028], [3.642, -1.509, 4.284], [-1.336, 1.702, 1.745]],
  "species": ["Ca", "Ca", "Re", "Mo"],
  "frac_coords": [[0.000, 0.000, 0.000], [0.500, 0.000, 0.500], [0.500, 0.500, 0.000], [0.000, 0.500, 0.500]]
}

=====

{
  "formula": "SbCF2",
  "functional": "PBE-GGA",
  "state": "optimized geometry",
  "spacegroup": "Fd-3m",
  "de_polymorph_ev_per_atom": 0.211,
  "crystal_system": "cubic",
  "energy_ev_per_atom": -3.590,
  "raw_formation_energy_ev_per_fu": 2.7,
  "total_magnetization_mub_per_fu": 0.00,
  "cell": [[5.776, 0.000, 0.000], [0.000, 5.776, 0.000], [2.888, 2.888, 4.086]],
  "species": ["F", "F", "F", "F", "Sb", "Sb", "C", "C"],
  "frac_coords": [[0.875, 0.625, 0.750], [0.375, 0.625, 0.750], [0.375, 0.625, 0.250], [0.375, 0.125, 0.250], [0.750, 0.250, 0.500], [0.000, 0.000, 0.000], [0.250, 0.750, 0.500], [0.500, 0.500, 0.000]]
}